## CaHo3Pd (GGA-PBE)

Data for a relaxed structure of CaHo3Pd.

## Properties
crystal system	cubic
raw total energy	-21.81	eV/cell
size of the total moment	0.00	μB per cell
ΔH_f (0 K)	-175.6	meV per atom

Cell and atoms, written as CIF:
```
data_CaHo3Pd
_cell_length_a 5.500
_cell_length_b 5.500
_cell_length_c 5.500
_cell_angle_alpha 90.00
_cell_angle_beta 90.00
_cell_angle_gamma 90.00
_symmetry_space_group_name_H-M 'P m -3 m'
_symmetry_Int_Tables_number 221
_symmetry_space_group_name_Hall '-P 4 2 3'
loop_
_atom_site_label
_atom_site_type_symbol
_atom_site_fract_x
_atom_site_fract_y
_atom_site_fract_z
_atom_site_occupancy
Ca1 Ca 0.000 0.000 0.000 1
Ho1 Ho 0.000 0.500 0.500 1
Pd1 Pd 0.500 0.500 0.500 1
```

## TcHg2Te (GGA-PBE)

Data for a relaxed structure of TcHg2Te.

## Properties
crystal system	cubic
raw total energy	-45.03	eV/cell
raw formation energy	0.71	eV/atom
size of the total moment	10.01	μB per cell

Cell and atoms, written as CIF:
```
data_TcHg2Te
_cell_length_a 7.083
_cell_length_b 7.083
_cell_length_c 7.083
_cell_angle_alpha 90.00
_cell_angle_beta 90.00
_cell_angle_gamma 90.00
_symmetry_space_group_name_H-M 'F -4 3 m'
_symmetry_Int_Tables_number 216
_symmetry_space_group_name_Hall 'F -4 2 3'
loop_
_atom_site_label
_atom_site_type_symbol
_atom_site_fract_x
_atom_site_fract_y
_atom_site_fract_z
_atom_site_occupancy
Tc1 Tc 0.000 0.000 0.000 1
Hg1 Hg 0.000 0.000 0.500 1
Hg2 Hg 0.250 0.250 0.750 1
Te1 Te 0.250 0.250 0.250 1
```

no.,Fermi-level density of states (states/eV/cell)
1,9.108
2,12.045